Compound: Tb3Y6Tm2In
Source: the Alexandria database
Functional: PBE-GGA
Structure: optimized geometry

```
Tb3Y6Tm2In
1.0
6.116 -0.003 -0.001
-3.059 5.296 -0.001
-1.026 -1.777 11.430
Tb Y In Tm
3 6 1 2
Cartesian
1.015 1.758 5.714
4.075 -0.009 5.714
-2.044 3.525 5.714
-1.010 1.732 2.794
2.047 3.544 2.810
3.040 1.784 8.633
2.005 -0.009 2.794
0.026 3.525 8.633
-0.016 -0.028 8.617
0.000 0.000 0.000
3.050 1.767 -0.001
0.006 3.525 -0.001
```

Properties
DFT formation energy, kcal/mol of atoms: -0.8
Space group: C2/m, No. 12

---

Compound: KZnCu2
Source: the Alexandria database
Functional: PBE-GGA
Structure: optimized geometry

```
KZnCu2
1.0
-0.929 -1.026 -2.421
3.537 -0.070 -1.328
0.842 -6.903 2.604
Cu K Zn
2 1 1
Cartesian
0.017 -0.136 0.051
1.439 -1.653 -1.458
0.410 -3.364 1.269
2.005 -6.298 0.295
```

Properties
DFT formation energy, kcal/mol of atoms: 5.9
Space group: Pmm2, No. 25

---

Compound: CrNiP2
Source: the Alexandria database
Functional: PBE-GGA
Structure: optimized geometry

```
CrNiP2
1.0
9.760 0.053 0.031
9.379 2.702 0.031
9.379 1.350 2.341
P Cr Ni
2 1 1
Cartesian
0.840 0.121 0.071
6.362 0.916 0.536
14.075 2.026 1.186
21.500 3.095 1.812
```

Properties
DFT formation energy, kcal/mol of atoms: 3.3
Space group: R3m, No. 160

---

Compound: Pa3V
Source: the Alexandria database
Functional: PBE-GGA
Structure: optimized geometry

```
Pa3V
1.0
4.498 0.000 0.000
0.000 4.498 0.000
0.000 0.000 4.498
Pa V
3 1
Cartesian
2.249 2.249 0.000
0.000 2.249 2.249
2.249 0.000 2.249
0.000 0.000 0.000
```

Properties
Distance to the lowest polymorph of the same formula, eV per formula unit: 0.36
DFT formation energy, kcal/mol of atoms: 6.9
Space group: Pm-3m, No. 221

---

Compound: CaTb2Pm8
Source: the Alexandria database
Functional: PBE-GGA
Structure: optimized geometry

```
CaTb2Pm8
1.0
0.619 0.928 -5.560
7.713 -3.630 0.253
-7.463 -5.763 1.098
Pm Tb Ca
8 2 1
Cartesian
5.338 -2.512 0.175
-3.904 -4.355 -1.162
-4.468 -5.952 -4.384
1.677 -2.651 -3.148
-0.808 -5.813 -1.061
-1.058 -2.283 -0.499
1.927 -6.181 -3.709
4.774 -4.109 -3.046
-1.650 -3.764 -3.704
2.519 -4.700 -0.504
0.310 0.464 -2.780
```

Properties
DFT formation energy, kcal/mol of atoms: 3.4
Space group: Immm, No. 71

---

Compound: LiEuAg
Source: the Alexandria database
Functional: PBE-GGA
Structure: optimized geometry

```
LiEuAg
1.0
-2.031 -2.958 0.741
2.520 -2.130 -1.593
2.313 1.988 5.216
Eu Li Ag
1 1 1
Cartesian
2.507 -3.036 3.810
1.032 -2.715 1.048
1.298 -0.283 2.431
```

Properties
Distance to the lowest polymorph of the same formula, eV per formula unit: 0.06
DFT formation energy, kcal/mol of atoms: -3.5
Space group: I4mm, No. 107

---

Compound: U2Co3P2
Source: the Alexandria database
Functional: PBE-GGA
Structure: optimized geometry

```
U2Co3P2
1.0
3.526 0.000 0.000
-1.763 4.996 -0.397
0.000 -2.755 5.823
U P Co
2 2 3
Cartesian
1.763 2.830 0.773
0.000 -0.588 4.653
1.763 1.553 4.120
0.000 0.688 1.306
0.000 2.315 2.896
1.763 -0.074 2.530
1.763 0.000 0.000
```

Properties
DFT formation energy, kcal/mol of atoms: -14.3
Space group: C2/m, No. 12

---

Compound: TlNiRh2C
Source: the Alexandria database
Functional: PBE-GGA
Structure: optimized geometry

```
TlNiRh2C
1.0
-3.907 0.533 -0.262
-0.230 -3.412 -3.511
-0.564 -2.786 2.745
Tl Rh Ni C
1 2 1 1
Cartesian
-0.115 -1.706 -1.755
-0.282 -1.393 1.372
-1.953 0.267 -0.131
-2.351 -2.832 -0.514
0.000 0.000 0.000
```

Properties
Distance to the lowest polymorph of the same formula, eV per formula unit: 2.37
DFT formation energy, kcal/mol of atoms: 13.9
Space group: P4/mmm, No. 123

---

Compound: RbTeAs2
Source: the Alexandria database
Functional: PBE-GGA
Structure: optimized geometry

```
RbTeAs2
1.0
-7.046 -4.307 0.280
4.126 -6.563 2.861
-2.126 -4.081 5.636
Rb Te As
2 2 4
Cartesian
0.270 -8.040 5.034
-1.460 -5.435 1.571
-5.316 -6.912 3.744
0.000 0.000 0.000
-5.019 -4.899 1.966
1.766 -5.294 3.208
-3.798 -13.131 7.219
-3.041 -6.579 5.162
```

Properties
Energy relative to the elements, uncorrected, eV/atom: 0.118
Space group: I-42d, No. 122

---

Compound: RbDy3Se4O12
Source: the Alexandria database
Functional: PBE-GGA
Structure: optimized geometry

```
RbDy3Se4O12
1.0
-0.804 -7.304 -2.113
4.726 3.312 -5.016
3.510 0.029 6.793
O Rb Dy Se
12 1 3 4
Cartesian
3.047 -3.119 -1.550
5.837 2.090 -1.282
3.250 -3.241 4.361
1.625 -5.967 -0.507
3.460 -1.985 -4.675
4.820 0.310 -3.896
2.061 -4.794 -3.584
3.527 -2.491 1.663
5.620 1.500 1.980
4.574 -0.336 -0.619
4.820 -0.351 3.893
1.951 -5.398 2.194
0.000 0.000 0.000
1.644 -3.143 2.941
1.588 -2.713 -3.369
4.200 1.892 0.091
4.242 -0.562 -5.277
5.583 1.191 3.685
3.716 -1.982 -0.168
1.323 -6.575 1.087
```

Properties
Energy relative to the elements, uncorrected, eV/atom: -1.622
Space group: R32, No. 155

---

Compound: PmMgAgSn2
Source: the Alexandria database
Functional: PBE-GGA
Structure: optimized geometry

```
PmMgAgSn2
1.0
4.399 0.000 0.000
0.000 4.399 0.000
-2.200 -2.200 6.456
Pm Ag Sn Mg
1 1 2 1
Cartesian
0.000 0.000 0.000
0.000 2.200 3.228
0.000 0.000 5.043
2.200 2.200 1.413
2.200 0.000 3.228
```

Properties
DFT formation energy, kcal/mol of atoms: -8.6
Space group: I-4m2, No. 119

---

Compound: AgPd3Pb2
Source: the Alexandria database
Functional: PBE-GGA
Structure: optimized geometry

```
AgPd3Pb2
1.0
5.749 0.000 0.000
0.000 8.177 0.017
-2.874 -2.020 5.077
Pd Pb Ag
6 4 2
Cartesian
2.897 6.157 3.691
2.851 2.068 3.683
1.551 6.133 0.012
-0.023 0.001 1.402
4.198 2.044 0.004
0.023 4.090 1.411
2.845 0.031 1.728
2.904 4.120 1.737
0.029 6.127 3.366
-0.029 2.038 3.357
1.320 2.044 0.004
4.429 6.133 0.012
```

Properties
Distance to the lowest polymorph of the same formula, eV per formula unit: 0.32
DFT formation energy, kcal/mol of atoms: -2.8
Space group: C2/c, No. 15

---

Compound: Pm4Ag2Rh
Source: the Alexandria database
Functional: PBE-GGA
Structure: optimized geometry

```
Pm4Ag2Rh
1.0
4.923 0.000 1.538
2.221 4.393 1.538
-0.070 -0.043 8.870
Rh Pm Ag
1 4 2
Cartesian
0.000 0.000 0.000
6.261 3.850 5.902
4.482 2.756 2.949
0.813 0.500 6.043
2.592 1.594 8.997
5.341 3.284 8.847
1.734 1.066 3.098
```

Properties
Distance to the lowest polymorph of the same formula, eV per formula unit: 0.00
DFT formation energy, kcal/mol of atoms: -5.9
Space group: R-3m, No. 166

---

Compound: RbBaLa2S
Source: the Alexandria database
Functional: PBE-GGA
Structure: optimized geometry

```
RbBaLa2S
1.0
-1.130 5.234 -2.018
-6.342 -1.619 -0.648
-1.013 1.834 5.325
S Ba La Rb
1 1 2 1
Cartesian
0.000 0.000 0.000
-3.171 -0.809 -0.324
-0.506 0.917 2.663
-0.565 2.617 -1.009
-4.242 2.725 1.329
```

Properties
Energy relative to the elements, uncorrected, eV/atom: -0.471
Space group: P4/mmm, No. 123

---

Compound: LiPd6Rh
Source: the Alexandria database
Functional: PBE-GGA
Structure: optimized geometry

```
LiPd6Rh
1.0
-1.705 0.468 -3.496
-4.404 -1.864 -0.297
-4.263 5.868 0.669
Pd Li Rh
6 1 1
Cartesian
-6.957 2.163 -0.708
-3.414 2.308 -2.416
-5.213 0.293 -1.809
-7.759 4.335 -2.221
-2.612 0.136 -0.903
-5.159 4.178 -1.315
0.000 0.000 0.000
-4.333 2.002 0.186
```

Properties
DFT formation energy, kcal/mol of atoms: -1.8
Space group: C2/m, No. 12

---

Compound: RbCe2Se5
Source: the Alexandria database
Functional: PBE-GGA
Structure: optimized geometry

```
RbCe2Se5
1.0
-1.262 -1.945 3.735
7.052 -3.796 2.994
5.524 2.782 5.903
Se Rb Ce
5 1 2
Cartesian
3.920 -3.252 4.806
8.152 -2.967 6.384
7.394 0.293 7.826
3.163 0.008 6.248
6.288 -0.507 4.448
0.000 0.000 0.000
3.631 -0.686 3.457
7.683 -2.273 9.175
```

Properties
Energy relative to the elements, uncorrected, eV/atom: -1.414
Space group: Immm, No. 71

---

Compound: CaTlHgPd
Source: the Alexandria database
Functional: PBE-GGA
Structure: optimized geometry

```
CaTlHgPd
1.0
-2.654 2.782 3.323
-2.886 -2.292 3.500
1.372 0.107 4.892
Ca Pd Tl Hg
1 1 1 1
Cartesian
-3.126 0.448 8.787
0.000 0.000 0.000
-1.042 0.149 2.929
-2.084 0.299 5.858
```

Properties
DFT formation energy, kcal/mol of atoms: -8.6
Space group: F-43m, No. 216

---

Compound: NiSb3S2
Source: the Alexandria database
Functional: PBE-GGA
Structure: optimized geometry

```
NiSb3S2
1.0
3.723 -0.001 -0.848
-0.194 3.717 -0.849
0.241 0.255 9.649
Sb S Ni
3 2 1
Cartesian
3.507 3.700 6.846
1.197 1.264 5.295
2.050 2.162 0.446
2.847 3.009 3.958
0.394 0.424 1.782
1.744 1.842 7.695
```

Properties
Energy relative to the elements, uncorrected, eV/atom: -0.078
Space group: I4/mmm, No. 139

---

Compound: CsSn2Hg2
Source: the Alexandria database
Functional: PBE-GGA
Structure: optimized geometry

```
CsSn2Hg2
1.0
-4.707 -6.639 0.365
2.953 -7.183 -1.346
-0.688 -3.639 6.752
Hg Sn Cs
4 4 2
Cartesian
-1.649 -14.492 4.153
-2.014 -7.117 1.473
-0.794 -2.969 1.618
-0.428 -10.344 4.298
-0.400 -8.785 -0.622
0.623 -8.552 2.343
-3.065 -8.909 3.427
-2.042 -8.676 6.393
-2.102 -12.088 1.009
-0.340 -5.373 4.762
```

Properties
Distance to the lowest polymorph of the same formula, eV per formula unit: 0.08
DFT formation energy, kcal/mol of atoms: -3.1
Space group: P-1, No. 2

---

Compound: ZrTlSn
Source: the Alexandria database
Functional: PBE-GGA
Structure: optimized geometry

```
ZrTlSn
1.0
4.257 0.000 0.000
0.000 4.257 0.000
0.000 0.000 8.154
Tl Sn Zr
2 2 2
Cartesian
0.000 2.128 2.835
2.128 0.000 5.319
2.128 2.128 0.000
0.000 0.000 0.000
2.128 0.000 2.309
0.000 2.128 5.845
```

Properties
DFT formation energy, kcal/mol of atoms: -0.3
Space group: P4/nmm, No. 129

---

Number 1: magnetization 0.011 μB/cell. Number 2: magnetization 0.000 μB/cell. Number 3: magnetization 1.209 μB/cell. Number 4: magnetization 0.590 μB/cell. Number 5: magnetization 0.000 μB/cell. Number 6: magnetization 7.378 μB/cell. Number 7: magnetization 0.900 μB/cell. Number 8: magnetization 0.371 μB/cell. Number 9: magnetization 0.000 μB/cell. Number 10: magnetization 0.804 μB/cell. Number 11: magnetization 0.000 μB/cell. Number 12: magnetization 0.000 μB/cell. Number 13: magnetization 0.000 μB/cell. Number 14: magnetization 1.724 μB/cell. Number 15: magnetization 1.726 μB/cell. Number 16: magnetization 0.105 μB/cell. Number 17: magnetization 0.000 μB/cell. Number 18: magnetization 0.000 μB/cell. Number 19: magnetization 0.000 μB/cell. Number 20: magnetization 0.000 μB/cell.